{"formula": "La3HgAu5", "functional": "PBE", "state": "relaxed", "e_form_mev_per_atom": -746.9, "final_energy_ev_per_cell": -76.39, "total_magnetization_mub_per_cell": 0.00, "volume_a3_per_fu": 225.20, "lattice": [[-3.093, -0.843, 5.463], [3.348, -8.399, 0.599], [4.530, 6.953, 3.638]], "species": ["La", "La", "La", "La", "La", "La", "Hg", "Hg", "Au", "Au", "Au", "Au", "Au", "Au", "Au", "Au", "Au", "Au"], "fractional_positions": [[0.750, 0.350, 0.350], [0.750, 0.000, 0.650], [0.750, 0.650, 0.000], [0.250, 0.650, 0.650], [0.250, 0.000, 0.350], [0.250, 0.350, 0.000], [0.000, 0.000, 0.000], [0.500, 0.000, 0.000], [0.000, 0.667, 0.333], [0.500, 0.333, 0.667], [0.000, 0.333, 0.667], [0.500, 0.667, 0.333], [0.750, 0.682, 0.682], [0.750, 0.000, 0.318], [0.750, 0.318, 0.000], [0.250, 0.318, 0.318], [0.250, 0.000, 0.682], [0.250, 0.682, 0.000]]}